No. 1
## TbUPd6 (PBE)

Data for crystalline TbUPd6 at its relaxed geometry.

Lattice parameters (Å, degrees): 4.133 4.133 8.265 90.00 90.00 90.00
Sites, in units of the cell vectors:
Tb  0.000  0.000  0.000
U  0.000  0.000  0.500
Pd  0.000  0.500  0.255
Pd  0.000  0.500  0.745
Pd  0.500  0.000  0.255
Pd  0.500  0.000  0.745
Pd  0.500  0.500  0.000
Pd  0.500  0.500  0.500

crystal system = tetragonal
energy of formation from the pure elements = -0.73 eV/atom
symmetry = P4/mmm (123)
N(E_F) = 9.75 states/eV per cell

No. 2
## Pb2W (PBE)

Data for crystalline Pb2W at its relaxed geometry.

Lattice parameters (Å, degrees): 5.555 5.448 10.377 90.00 90.00 90.00
Sites, in units of the cell vectors:
Pb  0.044  0.250  0.156
Pb  0.059  0.750  0.403
Pb  0.441  0.250  0.903
Pb  0.456  0.750  0.656
Pb  0.544  0.250  0.344
Pb  0.559  0.750  0.097
Pb  0.941  0.250  0.597
Pb  0.956  0.750  0.844
W  0.063  0.750  0.119
W  0.437  0.250  0.619
W  0.563  0.750  0.381
W  0.937  0.250  0.881

energy above the most stable polymorph in this dataset = 0.424 eV per atom
crystal system = orthorhombic
energy of formation from the pure elements = 1.01 eV/atom
symmetry = Pnma (62)
N(E_F) = 6.58 states/eV per cell

No. 3
## SrTaPt2 (PBE)

Data for crystalline SrTaPt2 at its relaxed geometry.

Lattice parameters (Å, degrees): 10.869 2.877 5.137 90.00 102.28 90.00
Sites, in units of the cell vectors:
Sr  0.000  0.000  0.000
Sr  0.500  0.500  0.000
Ta  0.207  0.000  0.610
Ta  0.707  0.500  0.610
Pt  0.255  0.500  0.141
Pt  0.477  0.000  0.496
Pt  0.755  0.000  0.141
Pt  0.977  0.500  0.496

energy above the most stable polymorph in this dataset = 0.324 eV per atom
crystal system = monoclinic
energy of formation from the pure elements = -0.26 eV/atom
symmetry = Cm (8)
N(E_F) = 6.40 states/eV per cell

No. 4
## TaSiSn (PBE)

Data for crystalline TaSiSn at its relaxed geometry.

Lattice parameters (Å, degrees): 3.620 3.620 8.476 90.00 90.00 90.00
Sites, in units of the cell vectors:
Ta  0.250  0.250  0.230
Ta  0.750  0.750  0.770
Si  0.250  0.750  0.000
Si  0.750  0.250  0.000
Sn  0.250  0.250  0.605
Sn  0.750  0.750  0.395

crystal system = tetragonal
formation energy without anion corrections = -0.177 eV per atom
symmetry = P4/nmm (129)
N(E_F) = 3.86 states/eV per cell

No. 5
## Er4Sb3S (PBE)

Data for crystalline Er4Sb3S at its relaxed geometry.

Lattice parameters (Å, degrees): 8.499 11.996 4.244 90.00 90.00 90.00
Sites, in units of the cell vectors:
Er  0.000  0.243  0.000
Er  0.000  0.757  0.000
Er  0.239  0.000  0.500
Er  0.261  0.500  0.500
Er  0.500  0.257  0.000
Er  0.500  0.743  0.000
Er  0.739  0.500  0.500
Er  0.761  0.000  0.500
Sb  0.000  0.500  0.000
Sb  0.250  0.250  0.500
Sb  0.250  0.750  0.500
Sb  0.500  0.000  0.000
Sb  0.750  0.250  0.500
Sb  0.750  0.750  0.500
S  0.000  0.000  0.000
S  0.500  0.500  0.000

crystal system = orthorhombic
formation energy without anion corrections = -1.270 eV per atom
symmetry = Cmmm (65)
N(E_F) = 2.99 states/eV per cell

No. 6
## Ce2Sn4Bi (PBE)

Data for crystalline Ce2Sn4Bi at its relaxed geometry.

Lattice parameters (Å, degrees): 9.335 9.338 6.672 90.00 134.23 90.00
Sites, in units of the cell vectors:
Ce  0.250  0.250  0.000
Ce  0.250  0.750  0.000
Ce  0.750  0.250  0.000
Ce  0.750  0.750  0.000
Sn  0.000  0.000  0.500
Sn  0.000  0.500  0.500
Sn  0.250  0.250  0.500
Sn  0.250  0.750  0.500
Sn  0.500  0.000  0.500
Sn  0.500  0.500  0.500
Sn  0.750  0.250  0.500
Sn  0.750  0.750  0.500
Bi  0.000  0.000  0.000
Bi  0.500  0.500  0.000

crystal system = monoclinic
energy of formation from the pure elements = -0.42 eV/atom
symmetry = C2/m (12)
N(E_F) = 22.22 states/eV per cell

No. 7
## Tb2ScGe2Rh5 (PBE)

Data for crystalline Tb2ScGe2Rh5 at its relaxed geometry.

Lattice parameters (Å, degrees): 9.894 9.894 3.604 90.00 90.00 90.00
Sites, in units of the cell vectors:
Tb  0.173  0.327  0.000
Tb  0.327  0.827  0.000
Tb  0.673  0.173  0.000
Tb  0.827  0.673  0.000
Sc  0.000  0.000  0.000
Sc  0.500  0.500  0.000
Ge  0.125  0.625  0.000
Ge  0.375  0.125  0.000
Ge  0.625  0.875  0.000
Ge  0.875  0.375  0.000
Rh  0.000  0.500  0.500
Rh  0.068  0.789  0.500
Rh  0.211  0.068  0.500
Rh  0.289  0.568  0.500
Rh  0.432  0.289  0.500
Rh  0.500  0.000  0.500
Rh  0.568  0.711  0.500
Rh  0.711  0.432  0.500
Rh  0.789  0.932  0.500
Rh  0.932  0.211  0.500

crystal system = tetragonal
energy of formation from the pure elements = -0.86 eV/atom
symmetry = P4/mbm (127)
N(E_F) = 10.68 states/eV per cell

No. 8
## Li2PRh (PBE)

Data for crystalline Li2PRh at its relaxed geometry.

Lattice parameters (Å, degrees): 2.592 2.592 8.005 90.00 90.00 90.00
Sites, in units of the cell vectors:
Li  0.000  0.000  0.237
Li  0.000  0.000  0.763
P  0.500  0.500  0.000
Rh  0.500  0.500  0.500

crystal system = tetragonal
energy of formation from the pure elements = -0.21 eV/atom
symmetry = P4/mmm (123)
N(E_F) = 2.87 states/eV per cell

No. 9
## Hf6In2Sn (PBE)

Data for crystalline Hf6In2Sn at its relaxed geometry.

Lattice parameters (Å, degrees): 8.325 8.325 8.325 144.78 138.98 55.15
Sites, in units of the cell vectors:
Hf  0.058  0.807  0.251
Hf  0.249  0.000  0.249
Hf  0.444  0.193  0.251
Hf  0.556  0.807  0.749
Hf  0.751  0.000  0.751
Hf  0.942  0.193  0.749
In  0.388  0.388  0.000
In  0.612  0.612  0.000
Sn  0.000  0.500  0.500

energy above the most stable polymorph in this dataset = 0.550 eV per atom
crystal system = orthorhombic
energy of formation from the pure elements = 0.38 eV/atom
symmetry = Immm (71)
N(E_F) = 10.76 states/eV per cell

No. 10
## PmZn2GeO6 (PBE)

Data for crystalline PmZn2GeO6 at its relaxed geometry.

Lattice parameters (Å, degrees): 7.077 7.077 6.566 111.10 111.10 80.93
Sites, in units of the cell vectors:
Pm  0.181  0.819  0.750
Pm  0.819  0.181  0.250
Zn  0.276  0.369  0.860
Zn  0.369  0.276  0.360
Zn  0.631  0.724  0.640
Zn  0.724  0.631  0.140
Ge  0.169  0.831  0.250
Ge  0.831  0.169  0.750
O  0.061  0.164  0.692
O  0.164  0.061  0.192
O  0.169  0.645  0.990
O  0.274  0.464  0.605
O  0.355  0.831  0.510
O  0.464  0.274  0.105
O  0.536  0.726  0.895
O  0.645  0.169  0.490
O  0.726  0.536  0.395
O  0.831  0.355  0.010
O  0.836  0.939  0.808
O  0.939  0.836  0.308

crystal system = monoclinic
formation energy without anion corrections = -1.798 eV per atom
symmetry = C2/c (15)

| no. | M_tot (μB/f.u.) |
| --- | --- |
| 1 | 1.8 |
| 2 | 0.0 |
| 3 | 0.0 |
| 4 | 0.0 |
| 5 | 0.0 |
| 6 | 1.2 |
| 7 | 0.0 |
| 8 | 0.1 |
| 9 | 0.0 |
| 10 | 1.0 |